A geometry-optimized Sr2CeGeS5 structure. Source: Alexandria, functional PBE.

abc: 4.311 17.666 12.078
angles: 90.00 90.00 90.00
Space group Cmc2_1 (No. 36)
Symmetry-distinct sites (fractional):
Sr (0.000, 0.114, 0.000)
Sr (0.000, 0.120, 0.645)
Ce (0.000, 0.206, 0.341)
Ge (0.000, 0.450, 0.759)
S (0.000, 0.040, 0.339)
S (0.000, 0.295, 0.992)
S (0.000, 0.322, 0.685)
S (0.000, 0.359, 0.324)
S (0.000, 0.497, 0.086)

Calculated values
ΔE_f (raw) (eV/atom): -1.556
Density of states at the Fermi level (states/eV/f.u.): 6.479
Calculated density (g/cm3): 3.96
Uncorrected energy (eV/cell): -194.23

---

A geometry-optimized TbCeGeS structure. Source: Alexandria, functional PBE.

abc: 4.1131 4.1131 19.9921
angles: 90.00 90.00 120.00
Space group R3m (No. 160, hexagonal axes)
Symmetry-distinct sites (fractional):
Tb (0.0000, 0.0000, 0.0000)
Ce (0.0000, 0.0000, 0.5024)
Ge (0.0000, 0.0000, 0.7513)
S (0.0000, 0.0000, 0.2535)

Calculated values
ΔE_f (raw) (eV/atom): -1.414
Density of states at the Fermi level (states/eV/f.u.): 4.641
Calculated density (g/cm3): 6.87
Uncorrected energy (eV/cell): -74.90

---

A geometry-optimized Ce6GeTe3S2 structure. Source: Alexandria, functional PBE.

abc: 7.334 12.700 7.616
angles: 90.00 108.73 90.00
Space group C2/m (No. 12)
Symmetry-distinct sites (fractional):
Ce (0.231, 0.000, 0.215)
Ce (0.243, 0.330, 0.218)
Ge (0.000, 0.500, 0.000)
Te (0.000, 0.000, 0.500)
Te (0.000, 0.337, 0.500)
S (0.000, 0.167, 0.000)

Calculated values
ΔE_f (raw) (eV/atom): -1.491
Density of states at the Fermi level (states/eV/f.u.): 36.557
Calculated density (g/cm3): 6.72
Uncorrected energy (eV/cell): -151.58